DFT (PBE-GGA) results for a relaxed RbHfTe3Au crystal.

Values from the calculation:
Space-group type ... Pnma (62)
Total DFT energy (no corrections) ... -4.5226 eV per atom

Cell lengths 12.748, 4.347, 13.643 Å; angles 90.00, 90.00, 90.00 degrees
Sites, in units of the cell vectors:
Au 0.238 0.250 0.216
Au 0.738 0.250 0.284
Au 0.262 0.750 0.716
Au 0.762 0.750 0.784
Hf 0.551 0.750 0.163
Hf 0.051 0.750 0.337
Hf 0.949 0.250 0.663
Hf 0.449 0.250 0.837
Rb 0.174 0.750 0.028
Rb 0.674 0.750 0.472
Rb 0.326 0.250 0.528
Rb 0.826 0.250 0.972
Te 0.417 0.250 0.072
Te 0.768 0.750 0.161
Te 0.024 0.250 0.189
Te 0.524 0.250 0.311
Te 0.268 0.750 0.339
Te 0.917 0.250 0.428
Te 0.083 0.750 0.572
Te 0.732 0.250 0.661
Te 0.476 0.750 0.689
Te 0.976 0.750 0.811
Te 0.232 0.250 0.839
Te 0.583 0.750 0.928

---

DFT (PBE-GGA) results for a relaxed GdBiB4 crystal.

Values from the calculation:
Polymorph energy (0 for the lowest one) ... 0.0 meV/atom
Space-group type ... Immm (71)

Cell lengths 5.406, 5.406, 5.406 Å; angles 145.32, 120.10, 71.11 degrees
Sites, in units of the cell vectors:
B 0.567 0.241 0.326
B 0.085 0.759 0.326
B 0.433 0.759 0.674
B 0.915 0.241 0.674
Bi 0.000 0.000 0.000
Gd 0.500 0.500 0.000

---

Repeat the first record exactly.
DFT (PBE-GGA) results for a relaxed RbHfTe3Au crystal.

Values from the calculation:
Space-group type ... Pnma (62)
Total DFT energy (no corrections) ... -4.5226 eV per atom

Cell lengths 12.748, 4.347, 13.643 Å; angles 90.00, 90.00, 90.00 degrees
Sites, in units of the cell vectors:
Au 0.238 0.250 0.216
Au 0.738 0.250 0.284
Au 0.262 0.750 0.716
Au 0.762 0.750 0.784
Hf 0.551 0.750 0.163
Hf 0.051 0.750 0.337
Hf 0.949 0.250 0.663
Hf 0.449 0.250 0.837
Rb 0.174 0.750 0.028
Rb 0.674 0.750 0.472
Rb 0.326 0.250 0.528
Rb 0.826 0.250 0.972
Te 0.417 0.250 0.072
Te 0.768 0.750 0.161
Te 0.024 0.250 0.189
Te 0.524 0.250 0.311
Te 0.268 0.750 0.339
Te 0.917 0.250 0.428
Te 0.083 0.750 0.572
Te 0.732 0.250 0.661
Te 0.476 0.750 0.689
Te 0.976 0.750 0.811
Te 0.232 0.250 0.839
Te 0.583 0.750 0.928

---

- Which formula does entry 2 have?
  GdBiB4

---

What did the second record say?
DFT (PBE-GGA) results for a relaxed GdBiB4 crystal.

Values from the calculation:
Polymorph energy (0 for the lowest one) ... 0.0 meV/atom
Space-group type ... Immm (71)

Cell lengths 5.406, 5.406, 5.406 Å; angles 145.32, 120.10, 71.11 degrees
Sites, in units of the cell vectors:
B 0.567 0.241 0.326
B 0.085 0.759 0.326
B 0.433 0.759 0.674
B 0.915 0.241 0.674
Bi 0.000 0.000 0.000
Gd 0.500 0.500 0.000